Below is OsW3 after structural relaxation, with properties calculated at the PBE level.

Space-group type: Pnma, No. 62
DFT formation energy in eV per atom: 0.260
Calculated volume in Å³ per atom: 15.898

```
OsW3
1.0
4.977 0.000 0.000
0.000 9.289 0.000
0.000 0.000 5.502
Os W
4 12
direct
0.074 0.250 0.113
0.426 0.750 0.613
0.574 0.250 0.387
0.926 0.750 0.887
0.047 0.250 0.616
0.233 0.513 0.876
0.233 0.987 0.876
0.267 0.013 0.376
0.267 0.487 0.376
0.453 0.750 0.116
0.547 0.250 0.884
0.733 0.513 0.624
0.733 0.987 0.624
0.767 0.013 0.124
0.767 0.487 0.124
0.953 0.750 0.384
```